(1)
Density functional theory data (PBE) for a relaxed structure of AlZn2As.

Energy relative to the lowest polymorph listed for this composition   126 meV per atom
N(E_F)   1.475 states/eV/f.u.
E_form   0.19 eV per atom

Lattice parameters (Å, degrees): 6.5736 6.5736 6.5736 90.00 90.00 90.00
Space group F-43m (No. 216)
Inequivalent atoms, fractional coordinates:
Al 0.0000 0.0000 0.0000 x4
Zn 0.0000 0.0000 0.5000 x4
Zn 0.2500 0.2500 0.7500 x4
As 0.2500 0.2500 0.2500 x4

(2)
Density functional theory data (PBE) for a relaxed structure of Al2ZnAs.

Energy relative to the lowest polymorph listed for this composition   164 meV per atom
N(E_F)   2.320 states/eV/f.u.
E_form   0.17 eV per atom

Lattice parameters (Å, degrees): 6.5511 6.5511 6.5511 90.00 90.00 90.00
Space group Fm-3m (No. 225)
Inequivalent atoms, fractional coordinates:
Al 0.2500 0.2500 0.2500 x8
Zn 0.0000 0.0000 0.0000 x4
As 0.0000 0.0000 0.5000 x4

(3)
Density functional theory data (PBE) for a relaxed structure of AlZnAs2.

Energy relative to the lowest polymorph listed for this composition   376 meV per atom
N(E_F)   0.854 states/eV/f.u.
E_form   0.18 eV per atom

Lattice parameters (Å, degrees): 2.9943 2.9943 29.9461 90.00 90.00 120.00
Space group R-3m (No. 166, hexagonal axes)
Inequivalent atoms, fractional coordinates:
Al 0.0000 0.0000 0.0000 x3
Zn 0.0000 0.0000 0.5000 x3
As 0.0000 0.0000 0.2643 x6

(4)
Density functional theory data (PBE) for a relaxed structure of AlZn2As.

Energy relative to the lowest polymorph listed for this composition   55 meV per atom
N(E_F)   0.956 states/eV/f.u.
E_form   0.11 eV per atom

Lattice parameters (Å, degrees): 2.9363 3.9117 5.9376 90.00 90.00 90.00
Space group Pmm2 (No. 25)
Inequivalent atoms, fractional coordinates:
Al 0.0000 0.0000 0.0000 x1
Zn 0.0000 0.0000 0.5324 x1
Zn 0.5000 0.5000 0.7291 x1
As 0.5000 0.5000 0.2166 x1